(1)
MnInW2 (PBE, relaxed); electronic total energy = -36.52 eV per cell; formation enthalpy at 0 K = 1.29 eV/f.u.; N(E_F) = 2.552 states/eV/cell
1.0
3.266 0.000 0.000
0.000 3.266 0.000
0.000 0.000 6.238
In Mn W
1 1 2
direct
0.000 0.000 0.512
0.500 0.500 0.770
0.000 0.000 0.998
0.500 0.500 0.220

=====

(2)
GaCoNi (PBE, relaxed); electronic total energy = -15.43 eV per cell; formation enthalpy at 0 K = 0.49 eV/f.u.; N(E_F) = 5.136 states/eV/cell
1.0
-2.658 2.704 0.806
1.003 -2.592 2.702
3.732 1.005 -0.419
Ga Ni Co
1 1 1
direct
0.444 0.222 0.667
0.946 0.972 0.918
0.943 0.472 0.415

=====

(3)
Fe2Si3P3 (PBE, relaxed); electronic total energy = -100.39 eV per cell; N(E_F) = 3.696 states/eV/cell; raw formation energy = -9 kJ per mole of atoms
1.0
-1.193 3.051 8.083
-5.275 -2.727 4.491
1.993 -2.624 2.478
Si P Fe
6 6 4
direct
0.712 0.462 0.646
0.650 0.848 0.524
0.288 0.538 0.354
0.905 0.053 0.272
0.095 0.947 0.728
0.350 0.152 0.476
0.996 0.402 0.798
0.743 0.968 0.957
0.562 0.274 0.676
0.004 0.598 0.202
0.257 0.032 0.043
0.438 0.726 0.324
0.014 0.273 0.347
0.271 0.354 0.940
0.986 0.727 0.653
0.729 0.646 0.060

=====

(4)
BaCdAs2O7 (PBE, relaxed); electronic total energy = -130.25 eV per cell; N(E_F) = 0.000 states/eV/cell; raw formation energy = -160 kJ per mole of atoms
1.0
-0.763 5.828 -0.579
-2.342 -0.552 7.071
7.775 1.063 1.102
O Ba As Cd
14 2 4 2
direct
0.409 0.096 0.183
0.588 0.818 0.389
0.058 0.772 0.375
0.074 0.897 0.823
0.781 0.642 0.965
0.779 0.612 0.609
0.282 0.543 0.724
0.412 0.182 0.611
0.219 0.358 0.035
0.221 0.388 0.391
0.942 0.228 0.625
0.926 0.103 0.177
0.718 0.457 0.276
0.591 0.904 0.817
0.296 0.727 0.068
0.704 0.273 0.932
0.789 0.668 0.397
0.810 0.772 0.810
0.190 0.228 0.190
0.211 0.332 0.603
0.312 0.834 0.601
0.688 0.166 0.399